Density functional theory data (PBE-GGA) for an optimized crystal structure of HClF2.

a b c (Å): 4.868 4.883 5.978
angles (deg): 74.71 84.79 84.35
Space group P1 (No. 1)
Asymmetric unit:
1 H 0.000 0.000 0.000
2 H 0.230 0.175 0.208
3 Cl 0.575 0.578 0.927
4 Cl 0.752 0.808 0.623
5 F 0.036 0.999 0.170
6 F 0.362 0.295 0.250
7 F 0.586 0.654 0.454
8 F 0.967 0.018 0.783

Calculated values
As for the excess energy over the best structure of this formula in the dataset: 0.006 eV/atom. As for the spin magnetization: 0.0 μB per cell. The calculation puts the total energy at -25.78 eV/cell. The calculation puts the density at 1.8 Mg/m³. The volume comes out at 136.08 Å³/cell.